Entry 1:
The following is a PBE-GGA calculation of a relaxed TiGaIr2 crystal, from Alexandria.

CIF file:
```
data_TiGaIr2
_symmetry_space_group_name_H-M 'I -4 2 d'
_symmetry_Int_Tables_number 122
_symmetry_space_group_name_Hall 'I -4 2bw'
_cell_length_a 6.8109
_cell_length_b 6.8109
_cell_length_c 5.6678
_cell_angle_alpha 90.00
_cell_angle_beta 90.00
_cell_angle_gamma 90.00
loop_
_atom_site_label
_atom_site_fract_x
_atom_site_fract_y
_atom_site_fract_z
Ti1 0.0000 0.0000 0.0000
Ga1 0.0000 0.0000 0.5000
Ir1 0.2432 0.2500 0.1250
```

**DOS(E_F)**: 0.7969 states/eV per atom
**Energy of formation**: -0.100 eV/atom
**Total moment**: 0.000 μB/atom
**VASP energy**: -29.04 eV per formula unit

---

Entry 2:
The following is a PBE-GGA calculation of a relaxed HfTiTlHg crystal, from Alexandria.

CIF file:
```
data_HfTiTlHg
_symmetry_space_group_name_H-M 'F -4 3 m'
_symmetry_Int_Tables_number 216
_symmetry_space_group_name_Hall 'F -4 2 3'
_cell_length_a 6.9291
_cell_length_b 6.9291
_cell_length_c 6.9291
_cell_angle_alpha 90.00
_cell_angle_beta 90.00
_cell_angle_gamma 90.00
loop_
_atom_site_label
_atom_site_fract_x
_atom_site_fract_y
_atom_site_fract_z
Hf1 0.0000 0.0000 0.0000
Ti1 0.0000 0.0000 0.5000
Tl1 0.2500 0.2500 0.2500
Hg1 0.2500 0.2500 0.7500
```

**DOS(E_F)**: 0.8917 states/eV per atom
**Energy of formation**: 0.142 eV/atom
**Total moment**: 0.208 μB/atom
**VASP energy**: -19.95 eV per formula unit